GGA-PBE KFeIr, relaxed; space group = Fmm2; ΔE to the lowest computed polymorph = 0.455 eV/atom
1.0
8.165 0.008 -0.005
7.478 2.715 0.057
0.687 -1.130 2.460
K Ir Fe
1 1 1
direct
0.328 0.328 0.672
0.651 0.651 0.349
0.022 0.022 0.978

---

GGA-PBE KFeIr3, relaxed; space group = Pm-3m; ΔE to the lowest computed polymorph = 2.264 eV/atom
1.0
4.627 0.000 0.000
0.000 4.627 0.000
0.000 0.000 4.627
Ir K Fe
3 1 1
direct
0.500 0.000 0.000
0.000 0.500 0.000
0.000 0.000 0.500
0.000 0.000 0.000
0.500 0.500 0.500